Density functional theory data (GGA-PBE) for Sm2YCd3Ga2Au after structural relaxation.

Results
Its volume is 209.8 Å³/f.u. The calculation puts the total magnetization at 0.01 μB per formula unit. As for the space-group type: No. 38. The energy is -33.20 eV per cell.

Cell lengths 4.389, 7.422, 7.422 Å; angles 119.81, 90.00, 90.00 degrees
Positions (direct):
Ga  0.500  0.666  0.336
Ga  0.500  0.336  0.666
Y  0.000  0.588  0.588
Cd  0.500  0.254  0.254
Cd  0.500  0.747  0.999
Cd  0.500  0.999  0.747
Au  0.000  0.996  0.996
Sm  0.000  0.001  0.413
Sm  0.000  0.413  0.001